Below is Tb4Ga12Ag at its PBEsol-relaxed geometry, with properties calculated at the meta-GGA SCAN level.

Unit cell a=7.411 b=7.411 c=7.411 alpha=109.47 beta=109.47 gamma=109.47
Positions (direct):
Tb  0.500  0.000  0.000
Tb  0.000  0.500  0.000
Tb  0.000  0.000  0.500
Tb  0.500  0.500  0.500
Ga  0.500  0.750  0.250
Ga  0.500  0.250  0.750
Ga  0.750  0.500  0.250
Ga  0.250  0.500  0.750
Ga  0.250  0.750  0.500
Ga  0.750  0.250  0.500
Ga  0.000  0.305  0.305
Ga  0.000  0.695  0.695
Ga  0.695  0.000  0.695
Ga  0.305  0.000  0.305
Ga  0.695  0.695  0.000
Ga  0.305  0.305  0.000
Ag  0.000  0.000  0.000

Summary:
Magnetic moment ... 0.000 Bohr magnetons per cell
Formation enthalpy at 0 K ... -0.5944 eV/atom
Calculated volume ... 18.4 Å³/atom
Raw total energy ... -24.981 eV/atom